BeOs2Ru | PBE | relaxed

Total magnetic moment in μB per atom: 0.00
Total DFT energy (no corrections) in eV per atom: -8.58
D(E_F) in states/eV per cell: 17.81

```
data_BeOs2Ru
_cell_length_a 5.9683
_cell_length_b 5.9683
_cell_length_c 5.9683
_cell_angle_alpha 90.00
_cell_angle_beta 90.00
_cell_angle_gamma 90.00
_space_group_name_H-M_alt 'F -4 3 m'
_space_group_IT_number 216
_space_group_name_Hall 'F -4 2 3'
loop_
_atom_site_label
_atom_site_type_symbol
_atom_site_fract_x
_atom_site_fract_y
_atom_site_fract_z
Be1 Be 0.0000 0.0000 0.0000
Os1 Os 0.0000 0.0000 0.5000
Os2 Os 0.2500 0.2500 0.2500
Ru1 Ru 0.2500 0.2500 0.7500
```